# CrBiOs2 (GGA-PBE, optimized geometry)
# * energy of formation: 1088 meV/atom
# * VASP energy: -126.45 eV/cell
# * magnetic moment: 0.00 μB/cell
data_CrBiOs2
_cell_length_a 4.398
_cell_length_b 4.398
_cell_length_c 16.405
_cell_angle_alpha 90.00
_cell_angle_beta 90.00
_cell_angle_gamma 90.00
_space_group_name_H-M_alt 'P 1'
_space_group_IT_number 1
loop_
_space_group_symop_operation_xyz
'x,y,z'
loop_
_atom_site_label
_atom_site_type_symbol
_atom_site_fract_x
_atom_site_fract_y
_atom_site_fract_z
Cr1 Cr 0.000 0.000 0.000
Cr2 Cr 0.000 0.500 0.250
Cr3 Cr 0.500 0.000 0.750
Cr4 Cr 0.500 0.500 0.500
Bi1 Bi 0.000 0.000 0.500
Bi2 Bi 0.000 0.500 0.750
Bi3 Bi 0.500 0.000 0.250
Bi4 Bi 0.500 0.500 0.000
Os1 Os 0.146 0.250 0.125
Os2 Os 0.250 0.646 0.375
Os3 Os 0.250 0.854 0.875
Os4 Os 0.354 0.250 0.625
Os5 Os 0.646 0.750 0.625
Os6 Os 0.750 0.146 0.875
Os7 Os 0.750 0.354 0.375
Os8 Os 0.854 0.750 0.125